# 1
DFT (PBE) results for BaRe3 after structural relaxation.

The structure in POSCAR format:
```
BaRe3
1.0
4.711 0.000 0.000
2.356 4.080 0.000
2.356 1.360 3.847
Re Ba
3 1
Direct
0.500 0.500 0.500
0.750 0.750 0.750
0.250 0.250 0.250
0.000 0.000 0.000
```

Properties
Volume: 18.48 Å³/atom
Space group: Fm-3m
Energy of formation: 1.477 eV/atom
Fermi-level density of states: 1.5 states/eV/cell
Density: 15.63 g/cm³
Total DFT energy (no corrections): -8.3402 eV per atom

---

# 2
DFT (PBE) results for BaRe after structural relaxation.

The structure in POSCAR format:
```
BaRe
1.0
-3.348 -4.318 1.235
4.581 0.962 3.077
-3.439 3.792 3.935
Ba Re
2 2
Direct
0.333 0.667 0.936
0.667 0.333 0.436
0.667 0.333 0.935
0.333 0.667 0.435
```

Properties
Volume: 43.87 Å³/atom
Space group: P6_3/mmc
Energy of formation: 2.560 eV/atom
Fermi-level density of states: 6.4 states/eV/cell
Density: 6.12 g/cm³
Total DFT energy (no corrections): -4.6258 eV per atom

---

# 3
DFT (PBE) results for BaRe3 after structural relaxation.

The structure in POSCAR format:
```
BaRe3
1.0
4.263 0.000 0.000
0.000 4.263 0.000
0.000 0.000 4.263
Ba Re
1 3
Direct
0.000 0.000 0.000
0.000 0.500 0.500
0.500 0.000 0.500
0.500 0.500 0.000
```

Properties
Volume: 19.37 Å³/atom
Space group: Pm-3m
Energy of formation: 2.102 eV/atom
Fermi-level density of states: 7.1 states/eV/cell
Density: 14.92 g/cm³
Total DFT energy (no corrections): -7.7153 eV per atom

---

# 4
DFT (PBE) results for BaRe3 after structural relaxation.

The structure in POSCAR format:
```
BaRe3
1.0
3.855 -6.676 0.000
3.855 6.676 0.000
0.000 0.000 4.238
Ba Re
2 6
Direct
0.667 0.333 0.750
0.333 0.667 0.250
0.112 0.888 0.750
0.888 0.112 0.250
0.224 0.112 0.250
0.776 0.888 0.750
0.112 0.224 0.750
0.888 0.776 0.250
```

Properties
Volume: 27.27 Å³/atom
Space group: P6_3/mmc
Energy of formation: 0.869 eV/atom
Fermi-level density of states: 11.5 states/eV/cell
Density: 10.60 g/cm³
Total DFT energy (no corrections): -8.9473 eV per atom